DFT (GGA+U) results for a relaxed Rb4Ac3VO8 crystal.

**VASP energy**: -98.959 eV/cell
**Calculated volume**: 20.92 Å³ per atom
**Calculated density**: 5.96 g cm⁻³

Unit cell a=7.3005 b=7.7259 c=7.7305 alpha=115.69 beta=118.18 gamma=90.00
Closest atoms and distances in Å follow each position.
Fractional positions:
Rb (0.5000, 0.0000, 0.0000)  2 O 2.66
Rb (0.5000, 0.0000, 0.5000)  4 O 2.88-2.93
Rb (0.0000, 0.0000, 0.0000)  4 O 2.95
Rb (0.0000, 0.0000, 0.5000)  4 O 2.88-2.93
Ac (0.5000, 0.5000, 0.0000)  6 O 2.52-2.57
Ac (0.5000, 0.5000, 0.5000)  6 O 2.45-2.67
Ac (0.0000, 0.5000, 0.5000)  6 O 2.45-2.67
V (0.0000, 0.5000, 0.0000)  4 O 2.02
O (0.1738, 0.6482, 0.9422)  1 V 2.02
O (0.2811, 0.7339, 0.5622)  2 Ac 2.45, 1 Rb 2.66
O (0.2876, 0.3144, 0.5752)  3 Ac 2.52
O (0.7684, 0.6482, 0.9422)  1 V 2.02
O (0.2316, 0.3518, 0.0578)  1 V 2.02
O (0.7124, 0.6856, 0.4248)  3 Ac 2.52
O (0.7189, 0.2661, 0.4378)  2 Ac 2.45, 1 Rb 2.66
O (0.8262, 0.3518, 0.0578)  1 V 2.02